Record 1
An optimized crystal structure of KBa2Rh, computed with PBE-GGA.

```
KBa2Rh
1.0
-1.701 -4.192 0.726
1.640 2.448 3.514
-9.997 4.333 1.600
K Ba Rh
1 2 1
Cartesian
0.000 0.000 0.000 K
-3.000 1.762 3.143 Ba
-7.058 0.827 2.698 Ba
-4.999 2.167 0.800 Rh
```

Properties
As for the calculated volume: 200 Å³/cell. The final energy comes out at -3.19 eV per atom.

Record 2
An optimized crystal structure of Sr2Ag2P, computed with PBE-GGA.

```
Sr2Ag2P
1.0
-2.985 2.320 -0.930
0.249 -1.165 -3.706
-7.056 -6.058 -0.615
Sr Ag P
2 2 1
Cartesian
-2.398 -0.624 -2.010 Sr
-7.393 -4.279 -3.242 Sr
-5.704 -1.580 -1.932 Ag
-4.087 -3.323 -3.320 Ag
0.000 0.000 0.000 P
```

Properties
As for the calculated volume: 135 Å³/cell. The final energy comes out at -3.35 eV per atom.

Record 3
An optimized crystal structure of La3Sm2Ho6Sc, computed with PBE-GGA.

```
La3Sm2Ho6Sc
1.0
-1.657 1.939 -5.645
0.401 -6.063 1.200
-10.752 1.281 4.731
La Sm Ho Sc
3 2 6 1
Cartesian
-5.319 -4.086 2.423 La
-6.689 1.242 -2.136 La
-6.004 -1.422 0.143 La
-0.286 -3.392 -1.085 Sm
-0.970 -0.733 -3.359 Sm
-9.420 -0.821 -0.904 Ho
-3.565 -2.783 -2.181 Ho
-2.588 -2.023 1.191 Ho
-8.741 -3.464 1.357 Ho
-8.443 -0.061 2.468 Ho
-3.268 0.620 -1.070 Ho
0.000 0.000 0.000 Sc
```

Properties
As for the calculated volume: 386 Å³/cell. The final energy comes out at -4.80 eV per atom.

What did the second record say?
An optimized crystal structure of Sr2Ag2P, computed with PBE-GGA.

```
Sr2Ag2P
1.0
-2.985 2.320 -0.930
0.249 -1.165 -3.706
-7.056 -6.058 -0.615
Sr Ag P
2 2 1
Cartesian
-2.398 -0.624 -2.010 Sr
-7.393 -4.279 -3.242 Sr
-5.704 -1.580 -1.932 Ag
-4.087 -3.323 -3.320 Ag
0.000 0.000 0.000 P
```

Properties
As for the calculated volume: 135 Å³/cell. The final energy comes out at -3.35 eV per atom.